No. 1
The following is a PBE calculation of crystalline KZrHg2 at its relaxed geometry, from Alexandria.

Relative energy among the computed polymorphs ... 426.3 meV/atom
Volume ... 31.5 Å³ per atom
Magnetic moment ... 1.7 Bohr magnetons per cell

a = 8.232 Å, b = 8.232 Å, c = 6.908 Å
α = 53.42°, β = 53.42°, γ = 90.00°
Positions (direct):
K 0.500 0.500 0.000
K 0.250 0.750 0.500
Hg 0.667 0.125 0.250
Hg 0.083 0.625 0.250
Hg 0.375 0.333 0.750
Hg 0.875 0.917 0.750
Zr 0.000 0.000 0.000
Zr 0.750 0.250 0.500

=====

No. 2
The following is a PBE calculation of crystalline SrBeCu2 at its relaxed geometry, from Alexandria.

Volume ... 19.3 Å³ per atom
Magnetic moment ... 0.0 Bohr magnetons per cell

a = 4.079 Å, b = 4.079 Å, c = 5.833 Å
α = 69.86°, β = 69.86°, γ = 59.96°
Positions (direct):
Sr 0.503 0.503 0.492
Cu 0.991 0.991 0.028
Cu 0.688 0.688 0.935
Be 0.318 0.318 0.046

=====

No. 3
The following is a PBE calculation of crystalline Hf2TiAuC at its relaxed geometry, from Alexandria.

Volume ... 16.7 Å³ per atom
Magnetic moment ... 0.0 Bohr magnetons per cell

a = 4.456 Å, b = 4.456 Å, c = 4.214 Å
α = 90.00°, β = 90.00°, γ = 90.00°
Positions (direct):
Hf 0.000 0.500 0.000
Hf 0.500 0.000 0.000
C 0.000 0.000 0.000
Au 0.500 0.500 0.500
Ti 0.000 0.000 0.500

=====

No. 4
The following is a PBE calculation of crystalline LaPmEr at its relaxed geometry, from Alexandria.

Relative energy among the computed polymorphs ... 145.1 meV/atom
Volume ... 34.4 Å³ per atom
Magnetic moment ... 0.0 Bohr magnetons per cell

a = 3.492 Å, b = 9.001 Å, c = 6.559 Å
α = 90.00°, β = 90.00°, γ = 90.00°
Positions (direct):
Pm 0.500 0.202 0.250
Pm 0.500 0.798 0.750
La 0.000 0.153 0.750
La 0.000 0.847 0.250
Er 0.000 0.500 0.500
Er 0.000 0.500 0.000

=====

no.,ΔH_f (0 K) (eV/atom)
1,0.3823
2,0.0022
3,-0.6122
4,0.1675